(1)
# Cu4SnAu4

Crystalline Cu4SnAu4 at its relaxed geometry (PBE, the Alexandria database).

abc: 4.252 6.248 6.248
angles: 83.35 70.10 70.10
Positions (direct):
Cu 0.644 0.382 0.331
Cu 0.356 0.618 0.669
Cu 0.026 0.331 0.618
Cu 0.974 0.669 0.382
Au 0.702 0.652 0.944
Au 0.646 0.056 0.652
Au 0.354 0.944 0.348
Au 0.298 0.348 0.056
Sn 0.000 0.000 0.000

(2)
# Cu3Sn2Au2

Crystalline Cu3Sn2Au2 at its relaxed geometry (PBE, the Alexandria database).

abc: 4.159 6.589 5.263
angles: 109.01 113.27 90.00
Positions (direct):
Sn 0.348 0.225 0.696
Sn 0.652 0.775 0.304
Cu 0.370 0.824 0.740
Cu 0.630 0.176 0.260
Cu 0.000 0.000 0.000
Au 0.874 0.558 0.747
Au 0.126 0.442 0.253

| no. | energy of formation (kcal/mol of atoms) | ρ (g/cm3) |
| --- | --- | --- |
| 1 | 0.1 | 13.13 |
| 2 | 0.0 | 11.02 |